(1)
A relaxed structure of LuCoAgB, computed with PBE-GGA.

Output
- polymorph energy (0 for the lowest one) (meV per atom) = 0.0

abc: 4.4039 4.4039 4.4039
angles: 60.00 60.00 60.00
Last column: nearest neighbours and their distance in Å.
Atoms (fractional coordinates):
Co 0.7500 0.7500 0.7500  4 B 2.70, 4 Ag 2.70
Lu 0.2500 0.2500 0.2500  4 B 2.70, 4 Ag 2.70
Ag 0.5000 0.5000 0.5000  4 Lu 2.70, 4 Co 2.70
B 0.0000 0.0000 0.0000  4 Lu 2.70, 4 Co 2.70

***

(2)
A relaxed structure of LuCoAgB, computed with PBE-GGA.

Output
- polymorph energy (0 for the lowest one) (meV per atom) = 105.7

abc: 4.3465 4.3465 4.3465
angles: 60.00 60.00 60.00
Last column: nearest neighbours and their distance in Å.
Atoms (fractional coordinates):
Lu 0.5000 0.5000 0.5000  4 Co 2.66, 4 Ag 2.66
Ag 0.2500 0.2500 0.2500  4 Lu 2.66, 4 B 2.66
B 0.0000 0.0000 0.0000  4 Co 2.66, 4 Ag 2.66
Co 0.7500 0.7500 0.7500  4 Lu 2.66, 4 B 2.66